Computed, not measured: a relaxed ScPtF6 crystal at the GGA-PBE level of DFT.

Structure (POSCAR):
```
ScPtF6
1.0
-0.338 -3.846 3.644
2.943 -2.554 -3.455
2.222 3.628 3.003
Sc Pt F
1 1 6
Direct
0.000 0.000 0.000 Sc
0.500 0.500 0.500 Pt
0.746 0.592 0.881 F
0.746 0.881 0.592 F
0.254 0.119 0.408 F
0.254 0.408 0.119 F
0.763 0.228 0.228 F
0.237 0.772 0.772 F
```

Properties
* magnetization: 1.0 μB per formula unit
* energy: -5.39 eV/atom

Computed, not measured: a relaxed CaUGaO6 crystal at the GGA-PBE level of DFT.

Structure (POSCAR):
```
CaUGaO6
1.0
5.357 0.000 0.000
-2.678 4.639 0.000
0.000 0.000 10.175
Ca U Ga O
2 2 2 12
Direct
0.000 0.000 0.000 Ca
0.000 0.000 0.500 Ca
0.667 0.333 0.250 U
0.333 0.667 0.750 U
0.333 0.667 0.250 Ga
0.667 0.333 0.750 Ga
0.637 0.646 0.142 O
0.009 0.363 0.142 O
0.363 0.009 0.642 O
0.991 0.637 0.858 O
0.354 0.363 0.358 O
0.009 0.646 0.358 O
0.646 0.009 0.858 O
0.637 0.991 0.358 O
0.991 0.354 0.642 O
0.354 0.991 0.142 O
0.646 0.637 0.642 O
0.363 0.354 0.858 O
```

Properties
* magnetization: 1.0 μB per formula unit
* energy: -7.57 eV/atom

Computed, not measured: a relaxed ThZnFe2H6 crystal at the GGA-PBE level of DFT.

Structure (POSCAR):
```
ThZnFe2H6
1.0
4.362 0.000 0.000
2.181 3.777 0.000
2.181 1.259 5.131
Th Zn Fe H
1 1 2 6
Direct
0.000 0.000 0.000 Th
0.500 0.500 0.500 Zn
0.797 0.797 0.608 Fe
0.203 0.203 0.392 Fe
0.049 0.572 0.807 H
0.572 0.049 0.807 H
0.428 0.428 0.193 H
0.951 0.428 0.193 H
0.428 0.951 0.193 H
0.572 0.572 0.807 H
```

Properties
* magnetization: 1.7 μB per formula unit
* energy: -4.74 eV/atom